VASP calculation (PBE-GGA) on a geometry-optimized SnSbTe2As structure.

## Properties
Space group ... P4/mmm
DOS(E_F) ... 5.19 states/eV/cell
E_form (uncorrected) ... 0.898 eV/atom

Cell: 5.5991 5.5991 5.6741 Å, 90.00 90.00 90.00°
Atoms (fractional coordinates):
Sb: 0.0000 0.0000 0.5000
Te: 0.5000 0.0000 0.0000
Te: 0.0000 0.5000 0.0000
Sn: 0.0000 0.0000 0.0000
As: 0.5000 0.5000 0.5000